[1]
## NbGeTePO (GGA-PBE)

Data for a relaxed NbGeTePO crystal.

Structure (CIF):
```
data_NbGeTePO
_chemical_formula_sum 'Nb1 Ge1 Te1 P1 O1'
_symmetry_space_group_name_H-M 'P 1'
_symmetry_Int_Tables_number 1
_symmetry_space_group_name_Hall 'P 1'
_cell_length_a 3.472
_cell_length_b 3.904
_cell_length_c 8.230
_cell_angle_alpha 76.36
_cell_angle_beta 89.18
_cell_angle_gamma 89.97
loop_
_atom_site_label
_atom_site_type_symbol
_atom_site_fract_x
_atom_site_fract_y
_atom_site_fract_z
Nb1 Nb 0.000 0.000 0.000
Ge1 Ge 0.211 0.310 0.384
Te1 Te 0.499 0.138 0.722
P1 P 0.490 0.879 0.243
O1 O 0.993 0.492 0.017
```

***

[2]
## Li2HoGeO4 (GGA-PBE)

Data for a relaxed Li2HoGeO4 crystal.

Structure (CIF):
```
data_Li2HoGeO4
_chemical_formula_sum 'Li4 Ho2 Ge2 O8'
_symmetry_space_group_name_H-M 'I -4 m 2'
_symmetry_Int_Tables_number 119
_symmetry_space_group_name_Hall 'I -4 -2'
_cell_length_a 4.373
_cell_length_b 4.373
_cell_length_c 9.514
_cell_angle_alpha 90.00
_cell_angle_beta 90.00
_cell_angle_gamma 90.00
loop_
_atom_site_label
_atom_site_type_symbol
_atom_site_fract_x
_atom_site_fract_y
_atom_site_fract_z
Li1 Li 0.000 0.000 0.000
Li2 Li 0.000 0.500 0.250
Ho1 Ho 0.000 0.500 0.750
Ge1 Ge 0.000 0.000 0.500
O1 O 0.000 0.000 0.278
O2 O 0.000 0.500 0.507
```

***

[3]
## CaSm3As (GGA-PBE)

Data for a relaxed CaSm3As crystal.

Calculated values
DFT formation energy in kcal/mol of atoms: -8.51

Structure (CIF):
```
data_CaSm3As
_chemical_formula_sum 'Ca1 Sm3 As1'
_symmetry_space_group_name_H-M 'P m -3 m'
_symmetry_Int_Tables_number 221
_symmetry_space_group_name_Hall '-P 4 2 3'
_cell_length_a 5.672
_cell_length_b 5.672
_cell_length_c 5.672
_cell_angle_alpha 90.00
_cell_angle_beta 90.00
_cell_angle_gamma 90.00
loop_
_atom_site_label
_atom_site_type_symbol
_atom_site_fract_x
_atom_site_fract_y
_atom_site_fract_z
Ca1 Ca 0.000 0.000 0.000
Sm1 Sm 0.000 0.500 0.500
As1 As 0.500 0.500 0.500
```

***

[4]
## Cu2TcPt (GGA-PBE)

Data for a relaxed Cu2TcPt crystal.

Calculated values
DFT formation energy in kcal/mol of atoms: 3.32

Structure (CIF):
```
data_Cu2TcPt
_chemical_formula_sum 'Cu4 Tc2 Pt2'
_symmetry_space_group_name_H-M 'C m m m'
_symmetry_Int_Tables_number 65
_symmetry_space_group_name_Hall '-C 2 2'
_cell_length_a 2.770
_cell_length_b 4.513
_cell_length_c 8.947
_cell_angle_alpha 90.00
_cell_angle_beta 90.00
_cell_angle_gamma 90.00
loop_
_atom_site_label
_atom_site_type_symbol
_atom_site_fract_x
_atom_site_fract_y
_atom_site_fract_z
Cu1 Cu 0.000 0.000 0.248
Tc1 Tc 0.000 0.500 0.000
Pt1 Pt 0.000 0.500 0.500
```

***

[5]
## Er3TaB7 (GGA-PBE)

Data for a relaxed Er3TaB7 crystal.

Calculated values
DFT formation energy in kcal/mol of atoms: -14.60

Structure (CIF):
```
data_Er3TaB7
_chemical_formula_sum 'Er12 Ta4 B28'
_symmetry_space_group_name_H-M 'C m c m'
_symmetry_Int_Tables_number 63
_symmetry_space_group_name_Hall '-C 2c 2'
_cell_length_a 3.484
_cell_length_b 15.921
_cell_length_c 9.517
_cell_angle_alpha 90.00
_cell_angle_beta 90.00
_cell_angle_gamma 90.00
loop_
_atom_site_label
_atom_site_type_symbol
_atom_site_fract_x
_atom_site_fract_y
_atom_site_fract_z
Er1 Er 0.000 0.108 0.059
Er2 Er 0.000 0.245 0.750
Ta1 Ta 0.000 0.053 0.750
B1 B 0.000 0.273 0.032
B2 B 0.000 0.365 0.145
B3 B 0.000 0.453 0.750
B4 B 0.000 0.481 0.091
```

***

[6]
## Cr2IrCl (GGA-PBE)

Data for a relaxed Cr2IrCl crystal.

Structure (CIF):
```
data_Cr2IrCl
_chemical_formula_sum 'Cr8 Ir4 Cl4'
_symmetry_space_group_name_H-M 'F m -3 m'
_symmetry_Int_Tables_number 225
_symmetry_space_group_name_Hall '-F 4 2 3'
_cell_length_a 6.001
_cell_length_b 6.001
_cell_length_c 6.001
_cell_angle_alpha 90.00
_cell_angle_beta 90.00
_cell_angle_gamma 90.00
loop_
_atom_site_label
_atom_site_type_symbol
_atom_site_fract_x
_atom_site_fract_y
_atom_site_fract_z
Cr1 Cr 0.250 0.250 0.250
Ir1 Ir 0.000 0.000 0.000
Cl1 Cl 0.000 0.000 0.500
```

***

[7]
## TbPm6Y2Er (GGA-PBE)

Data for a relaxed TbPm6Y2Er crystal.

Calculated values
DFT formation energy in kcal/mol of atoms: 2.75

Structure (CIF):
```
data_TbPm6Y2Er
_chemical_formula_sum 'Tb4 Pm24 Y8 Er4'
_symmetry_space_group_name_H-M 'C 1 2/c 1'
_symmetry_Int_Tables_number 15
_symmetry_space_group_name_Hall '-C 2yc'
_cell_length_a 9.302
_cell_length_b 15.276
_cell_length_c 9.562
_cell_angle_alpha 90.00
_cell_angle_beta 96.51
_cell_angle_gamma 90.00
loop_
_atom_site_label
_atom_site_type_symbol
_atom_site_fract_x
_atom_site_fract_y
_atom_site_fract_z
Tb1 Tb 0.000 0.030 0.250
Pm1 Pm 0.060 0.178 0.944
Pm2 Pm 0.097 0.388 0.117
Pm3 Pm 0.213 0.223 0.312
Y1 Y 0.249 0.451 0.453
Er1 Er 0.000 0.411 0.750
```

***

[8]
## Ac2Th3Ir2 (GGA-PBE)

Data for a relaxed Ac2Th3Ir2 crystal.

Calculated values
DFT formation energy in kcal/mol of atoms: -12.52

Structure (CIF):
```
data_Ac2Th3Ir2
_chemical_formula_sum 'Ac4 Th6 Ir4'
_symmetry_space_group_name_H-M 'C 1 2/m 1'
_symmetry_Int_Tables_number 12
_symmetry_space_group_name_Hall '-C 2y'
_cell_length_a 12.836
_cell_length_b 4.023
_cell_length_c 9.322
_cell_angle_alpha 90.00
_cell_angle_beta 117.19
_cell_angle_gamma 90.00
loop_
_atom_site_label
_atom_site_type_symbol
_atom_site_fract_x
_atom_site_fract_y
_atom_site_fract_z
Ac1 Ac 0.159 0.000 0.303
Th1 Th 0.000 0.500 0.500
Th2 Th 0.122 0.500 0.945
Ir1 Ir 0.142 0.000 0.744
```

***

[9]
## PmGa2Ge (GGA-PBE)

Data for a relaxed PmGa2Ge crystal.

Calculated values
DFT formation energy in kcal/mol of atoms: -7.64

Structure (CIF):
```
data_PmGa2Ge
_chemical_formula_sum 'Pm3 Ga6 Ge3'
_symmetry_space_group_name_H-M 'R -3 m'
_symmetry_Int_Tables_number 166
_symmetry_space_group_name_Hall '-R 3 2"'
_cell_length_a 4.4675
_cell_length_b 4.4675
_cell_length_c 15.2806
_cell_angle_alpha 90.00
_cell_angle_beta 90.00
_cell_angle_gamma 120.00
loop_
_atom_site_label
_atom_site_type_symbol
_atom_site_fract_x
_atom_site_fract_y
_atom_site_fract_z
Pm1 Pm 0.0000 0.0000 0.0000
Ga1 Ga 0.0000 0.0000 0.2191
Ge1 Ge 0.0000 0.0000 0.5000
```

***

[10]
## Cd2CuRh (GGA-PBE)

Data for a relaxed Cd2CuRh crystal.

Calculated values
DFT formation energy in kcal/mol of atoms: 1.57

Structure (CIF):
```
data_Cd2CuRh
_chemical_formula_sum 'Cd6 Cu3 Rh3'
_symmetry_space_group_name_H-M 'R -3 m'
_symmetry_Int_Tables_number 166
_symmetry_space_group_name_Hall '-R 3 2"'
_cell_length_a 2.9355
_cell_length_b 2.9355
_cell_length_c 27.0869
_cell_angle_alpha 90.00
_cell_angle_beta 90.00
_cell_angle_gamma 120.00
loop_
_atom_site_label
_atom_site_type_symbol
_atom_site_fract_x
_atom_site_fract_y
_atom_site_fract_z
Cd1 Cd 0.0000 0.0000 0.2494
Cu1 Cu 0.0000 0.0000 0.5000
Rh1 Rh 0.0000 0.0000 0.0000
```

***

[11]
## CePmTm2Se4 (GGA-PBE)

Data for a relaxed CePmTm2Se4 crystal.

Structure (CIF):
```
data_CePmTm2Se4
_chemical_formula_sum 'Ce1 Pm1 Tm2 Se4'
_symmetry_space_group_name_H-M 'P 1 2/m 1'
_symmetry_Int_Tables_number 10
_symmetry_space_group_name_Hall '-P 2y'
_cell_length_a 7.032
_cell_length_b 4.045
_cell_length_c 7.277
_cell_angle_alpha 90.00
_cell_angle_beta 108.66
_cell_angle_gamma 90.00
loop_
_atom_site_label
_atom_site_type_symbol
_atom_site_fract_x
_atom_site_fract_y
_atom_site_fract_z
Ce1 Ce 0.000 0.000 0.000
Pm1 Pm 0.500 0.500 0.000
Tm1 Tm 0.000 0.500 0.500
Tm2 Tm 0.500 0.000 0.500
Se1 Se 0.244 0.000 0.733
Se2 Se 0.256 0.500 0.267
```

***

[12]
## AcBeAu3 (GGA-PBE)

Data for a relaxed AcBeAu3 crystal.

Calculated values
DFT formation energy in kcal/mol of atoms: -11.82

Structure (CIF):
```
data_AcBeAu3
_chemical_formula_sum 'Ac2 Be2 Au6'
_symmetry_space_group_name_H-M 'P 1 c 1'
_symmetry_Int_Tables_number 7
_symmetry_space_group_name_Hall 'P -2yc'
_cell_length_a 5.533
_cell_length_b 6.244
_cell_length_c 8.373
_cell_angle_alpha 90.00
_cell_angle_beta 131.29
_cell_angle_gamma 90.00
loop_
_atom_site_label
_atom_site_type_symbol
_atom_site_fract_x
_atom_site_fract_y
_atom_site_fract_z
Ac1 Ac 0.000 0.188 0.000
Be1 Be 0.378 0.415 0.499
Au1 Au 0.259 0.344 0.736
Au2 Au 0.494 0.063 0.500
Au3 Au 0.785 0.344 0.264
```

***

Total magnetic moment (computed, μB/atom): 0.000, 0.000, 0.000, 0.000, 0.000, 0.000, 0.001, 0.000, 0.000, 0.075, 0.130, 0.000
Energy (computed, eV per cell): -31.8, -100.5, -22.7, -48.0, -317.0, -108.0, -197.7, -104.0, -50.2, -39.0, -47.6, -40.5